Here is a relaxed BaHoTe2F crystal from Alexandria. Energies are from PBE-GGA.

Properties
ΔE_f (raw)   -2.16 eV per atom
Raw total energy   -5.09 eV per atom
Space group   P4/nmm
V   312.7 Å³ per cell

Cell: 4.4429 4.4429 15.8393 Å, 90.00 90.00 90.00°
Last column: nearest neighbours and their distance in Å.
Positions (direct):
1 Ba 0.5000 0.0000 0.5963  4 F 2.69
2 Ba 0.0000 0.5000 0.4037  4 F 2.69
3 Ho 0.5000 0.0000 0.1145  5 Te 2.83-3.17
4 Ho 0.0000 0.5000 0.8855  5 Te 2.83-3.17
5 Te 0.0000 0.5000 0.7067  1 Ho 2.83
6 Te 0.0000 0.5000 0.0892  5 Ho 3.17-3.23
7 Te 0.5000 0.0000 0.9108  5 Ho 3.17-3.23
8 Te 0.5000 0.0000 0.2933  1 Ho 2.83
9 F 0.0000 0.0000 0.5000  4 Ba 2.69
10 F 0.5000 0.5000 0.5000  4 Ba 2.69